1.
Below is a geometry-optimized TbDyZnPt structure, with properties calculated at the PBE level.

Geometry as extended XYZ:
```
4
Lattice="3.5602 0.0000 0.0000 0.0000 3.5602 0.0000 0.0000 0.0000 6.9672" Properties=species:S:1:pos:R:3 pbc="T T T"
Tb 0.0000 0.0000 6.0206
Dy 0.0000 0.0000 2.4342
Zn 1.7801 1.7801 4.2125
Pt 1.7801 1.7801 0.7651
```

Summary:
* energy of formation: -309.4 kJ/mol of formula units
* spin magnetization: 0.0 μB/f.u.
* N(E_F): 0.71 states/eV/atom
* E above lowest polymorph: 0 meV/atom
* space-group type: No. 99

***

2.
Below is a geometry-optimized ThTlBi structure, with properties calculated at the PBE level.

Geometry as extended XYZ:
```
6
Lattice="4.5890 0.0000 0.0000 0.0000 4.5890 0.0000 0.0000 0.0000 8.9965" Properties=species:S:1:pos:R:3 pbc="T T T"
Tl 0.0000 0.0000 0.0000
Tl 2.2945 2.2945 0.0000
Bi 0.0000 2.2945 2.9845
Bi 2.2945 0.0000 6.0120
Th 0.0000 2.2945 6.2621
Th 2.2945 0.0000 2.7345
```

Summary:
* energy of formation: -88.0 kJ/mol of formula units
* spin magnetization: 0.0 μB/f.u.
* N(E_F): 0.82 states/eV/atom
* E above lowest polymorph: 0 meV/atom
* space-group type: No. 129

***

3.
Below is a geometry-optimized PdRuS structure, with properties calculated at the PBE level.

Geometry as extended XYZ:
```
6
Lattice="-2.9124 -0.3497 -1.3913 1.7474 -2.6194 0.7885 -4.3278 -0.1485 9.0970" Properties=species:S:1:pos:R:3 pbc="T T T"
S -1.3915 -0.7954 -0.6750
S -2.0021 -1.6271 4.6001
Pd -2.8741 -0.8471 2.4415
Pd -4.2366 -0.8938 5.3055
Ru -3.5913 -1.6805 7.9403
Ru -0.4131 -1.5715 1.2598
```

Summary:
* formation energy without anion corrections: 0.09 eV/atom
* spin magnetization: 0.0 μB/f.u.
* N(E_F): 1.02 states/eV/atom
* space-group type: No. 187

***

4.
Below is a geometry-optimized Sr6PS3Cl2 structure, with properties calculated at the PBE level.

Geometry as extended XYZ:
```
12
Lattice="7.4581 0.0035 0.0038 -3.7242 6.4617 0.0038 -1.2420 -2.1506 7.0486" Properties=species:S:1:pos:R:3 pbc="T T T"
Sr 3.6756 2.2569 5.2155
Sr 2.5493 4.4140 1.8479
Sr -1.1838 2.0577 1.8409
Sr 0.1179 4.3116 5.2155
Sr -0.0575 -0.0995 5.2085
Sr 2.3739 0.0030 1.8409
P 0.0000 0.0000 0.0000
S -2.4275 4.2788 3.5282
S 4.9193 0.0358 3.5282
S 1.2459 2.1573 3.5282
Cl 0.0132 4.3031 0.0038
Cl 3.7206 2.1620 0.0038
```

Summary:
* formation energy without anion corrections: -1.92 eV/atom
* spin magnetization: 0.0 μB/f.u.
* N(E_F): 0.30 states/eV/atom
* space-group type: No. 12

***

5.
Below is a geometry-optimized TbErTlIr structure, with properties calculated at the PBE level.

Geometry as extended XYZ:
```
4
Lattice="-1.4499 4.8129 -0.7830 -3.1588 1.1141 -3.8288 -4.7898 1.4052 0.9810" Properties=species:S:1:pos:R:3 pbc="T T T"
Tl -4.6992 3.6661 -1.8154
Ir 0.0000 0.0000 0.0000
Tb -7.0489 5.4991 -2.7230
Er -2.3496 1.8330 -0.9077
```

Summary:
* energy of formation: -189.5 kJ/mol of formula units
* spin magnetization: 0.0 μB/f.u.
* N(E_F): 0.45 states/eV/atom
* E above lowest polymorph: 127 meV/atom
* space-group type: No. 216

***

6.
Below is a geometry-optimized LuPuAg2 structure, with properties calculated at the PBE level.

Geometry as extended XYZ:
```
4
Lattice="3.5079 0.0000 0.0000 0.0000 3.5079 0.0000 0.0000 0.0000 7.6440" Properties=species:S:1:pos:R:3 pbc="T T T"
Lu 1.7540 1.7540 0.0000
Ag 0.0000 0.0000 5.9177
Ag 0.0000 0.0000 1.7263
Pu 1.7540 1.7540 3.8220
```

Summary:
* energy of formation: -44.7 kJ/mol of formula units
* spin magnetization: 5.8 μB/f.u.
* N(E_F): 2.37 states/eV/atom
* E above lowest polymorph: 0 meV/atom
* space-group type: No. 123

***

7.
Below is a geometry-optimized AcDyTm structure, with properties calculated at the PBE level.

Geometry as extended XYZ:
```
3
Lattice="-1.1214 3.2600 -1.3642 -1.6872 -1.4469 2.9675 5.7214 4.1828 5.2924" Properties=species:S:1:pos:R:3 pbc="T T T"
Ac 0.0100 0.0073 0.0093
Tm 0.6512 3.1248 1.8938
Dy 2.2516 2.8637 4.9926
```

Summary:
* energy of formation: 19.9 kJ/mol of formula units
* spin magnetization: 0.0 μB/f.u.
* N(E_F): 1.51 states/eV/atom
* E above lowest polymorph: 0 meV/atom
* space-group type: No. 156

***

8.
Below is a geometry-optimized MgMo2W structure, with properties calculated at the PBE level.

Geometry as extended XYZ:
```
4
Lattice="5.1530 -0.0141 0.0000 2.2649 4.6286 0.0000 -3.7090 -2.3072 2.7338" Properties=species:S:1:pos:R:3 pbc="T T T"
Mg 2.5765 -0.0070 1.3669
Mo 0.0000 0.0000 0.0000
Mo 1.1325 2.3143 1.3669
W 3.7090 2.3072 0.0000
```

Summary:
* energy of formation: 179.1 kJ/mol of formula units
* spin magnetization: 0.0 μB/f.u.
* N(E_F): 0.87 states/eV/atom
* space-group type: No. 119

***

9.
Below is a geometry-optimized Zr2Bi2P structure, with properties calculated at the PBE level.

Geometry as extended XYZ:
```
10
Lattice="6.9853 0.0000 0.0000 0.0000 6.9853 0.0000 0.0000 0.0000 4.9689" Properties=species:S:1:pos:R:3 pbc="T T T"
P 0.0000 0.0000 0.0000
P 3.4926 3.4926 0.0000
Bi 1.1272 4.6198 2.4844
Bi 4.6198 5.8581 2.4844
Bi 5.8581 2.3654 2.4844
Bi 2.3654 1.1272 2.4844
Zr 2.3835 5.8761 0.0000
Zr 5.8761 4.6018 0.0000
Zr 4.6018 1.1092 0.0000
Zr 1.1092 2.3835 0.0000
```

Summary:
* energy of formation: -166.2 kJ/mol of formula units
* spin magnetization: 0.0 μB/f.u.
* N(E_F): 0.90 states/eV/atom
* space-group type: No. 127

***

10.
Below is a geometry-optimized PrNd2Y6Th2 structure, with properties calculated at the PBE level.

Geometry as extended XYZ:
```
11
Lattice="6.2117 0.0163 0.0804 -3.0560 5.4080 0.0804 -0.9757 -1.6771 11.4287" Properties=species:S:1:pos:R:3 pbc="T T T"
Pr -0.4878 -0.8385 5.7143
Nd 4.6030 0.9522 0.0804
Nd -1.4473 4.4721 0.0804
Y 1.5649 2.6899 8.7159
Y -1.5460 0.9546 8.5457
Y 0.6151 1.0573 2.8736
Y 1.5940 -0.8722 8.5457
Y 3.7261 2.7926 3.0437
Y 0.5860 4.6194 3.0437
Th -0.4349 2.7608 5.7947
Th 2.6149 0.9865 5.7947
```

Summary:
* energy of formation: 200.1 kJ/mol of formula units
* spin magnetization: 0.0 μB/f.u.
* N(E_F): 1.43 states/eV/atom
* space-group type: No. 12

***

11.
Below is a geometry-optimized TiRh3F structure, with properties calculated at the PBE level.

Geometry as extended XYZ:
```
5
Lattice="4.2277 0.0000 0.0000 0.0000 4.2277 0.0000 0.0000 0.0000 4.2277" Properties=species:S:1:pos:R:3 pbc="T T T"
F 0.0000 0.0000 0.0000
Rh 0.0000 2.1139 0.0000
Rh 0.0000 0.0000 2.1139
Rh 2.1139 0.0000 0.0000
Ti 2.1139 2.1139 2.1139
```

Summary:
* formation energy without anion corrections: 0.30 eV/atom
* spin magnetization: 1.6 μB/f.u.
* N(E_F): 1.23 states/eV/atom
* E above lowest polymorph: 0 meV/atom
* space-group type: No. 221

***

12.
Below is a geometry-optimized MnTe2PtBr structure, with properties calculated at the PBE level.

Geometry as extended XYZ:
```
5
Lattice="-0.0563 -5.2214 -2.2227 -0.1966 -1.8420 4.3322 -5.6699 0.1445 -0.1958" Properties=species:S:1:pos:R:3 pbc="T T T"
Mn -2.9613 -3.4595 0.9569
Te -2.8349 0.0722 -0.0979
Te -0.0281 -2.6107 -1.1113
Br 0.0000 0.0000 0.0000
Pt -0.0983 -0.9210 2.1661
```

Summary:
* formation energy without anion corrections: 1.13 eV/atom
* spin magnetization: 4.9 μB/f.u.
* N(E_F): 0.91 states/eV/atom
* space-group type: No. 123

***

13.
Below is a geometry-optimized K2La2SbO6 structure, with properties calculated at the PBE level.

Geometry as extended XYZ:
```
11
Lattice="-0.6799 -5.8187 -2.0705 4.4162 1.2496 4.1884 -5.2120 0.0764 4.1574" Properties=species:S:1:pos:R:3 pbc="T T T"
K 0.1170 -4.7135 -1.0919
K 3.6194 0.1444 3.2097
La 0.1009 -1.0830 4.1678
La -1.5766 -3.4098 2.1074
Sb -2.6060 0.0382 2.0787
O -0.7044 -3.4203 4.4361
O -1.9651 0.2514 4.2026
O -0.7713 -1.0724 1.8391
O -3.5648 -1.9675 2.2378
O 0.4894 -4.7441 2.0726
O 2.0891 -2.5253 4.0374
```

Summary:
* formation energy without anion corrections: -2.25 eV/atom
* spin magnetization: 0.5 μB/f.u.
* N(E_F): 0.51 states/eV/atom
* space-group type: No. 12

***

14.
Below is a geometry-optimized ZnCd2Ir structure, with properties calculated at the PBE level.

Geometry as extended XYZ:
```
4
Lattice="-1.8514 1.5932 -1.5659 -0.4815 -2.8501 0.2519 -5.3586 1.6102 7.9741" Properties=species:S:1:pos:R:3 pbc="T T T"
Cd -5.2674 1.5828 7.8383
Cd -2.6215 -0.1912 1.5081
Ir -2.7734 0.8334 4.1270
Zn -5.0673 0.5438 5.1478
```

Summary:
* energy of formation: 52.9 kJ/mol of formula units
* spin magnetization: 0.0 μB/f.u.
* N(E_F): 0.52 states/eV/atom
* space-group type: No. 35

***

15.
Below is a geometry-optimized La2ZnRu structure, with properties calculated at the PBE level.

Geometry as extended XYZ:
```
4
Lattice="3.5716 0.0000 0.0000 0.0000 3.5716 0.0000 0.0000 0.0000 8.0076" Properties=species:S:1:pos:R:3 pbc="T T T"
La 0.0000 0.0000 7.3201
La 1.7858 1.7858 2.5167
Ru 0.0000 0.0000 4.6965
Zn 1.7858 1.7858 5.4857
```

Summary:
* energy of formation: -29.5 kJ/mol of formula units
* spin magnetization: 0.0 μB/f.u.
* N(E_F): 1.19 states/eV/atom
* space-group type: No. 99

***

16.
Below is a geometry-optimized K4Tm3ZrSe8 structure, with properties calculated at the PBE level.

Geometry as extended XYZ:
```
16
Lattice="8.2171 0.0000 0.0000 0.0000 9.0148 0.5586 -4.1086 -4.1054 5.8122" Properties=species:S:1:pos:R:3 pbc="T T T"
K 4.1086 0.0000 0.0000
K 2.0543 -2.0527 2.9061
K 0.0000 0.0000 0.0000
K -2.0543 -2.0527 2.9061
Tm 4.1086 4.5074 0.2793
Tm 2.0543 2.4547 3.1854
Tm -2.0543 2.4547 3.1854
Zr 0.0000 4.5074 0.2793
Se -2.0994 2.3411 6.0407
Se 0.0000 4.4388 3.0708
Se 0.0000 0.4866 3.2475
Se 2.0994 2.3411 6.0407
Se 2.0092 2.5684 0.3301
Se 4.1086 4.4228 3.1233
Se 4.1086 0.4706 3.3000
Se 6.2079 2.5684 0.3301
```

Summary:
* formation energy without anion corrections: -1.63 eV/atom
* spin magnetization: 0.7 μB/f.u.
* N(E_F): 0.27 states/eV/atom
* space-group type: No. 166

***

17.
Below is a geometry-optimized TcSe2S structure, with properties calculated at the PBE level.

Geometry as extended XYZ:
```
4
Lattice="7.3553 2.8748 3.6672 7.4305 -0.2114 4.5338 8.5226 0.6714 1.6513" Properties=species:S:1:pos:R:3 pbc="T T T"
S 11.6542 1.6674 4.9262
Tc 0.0000 0.0000 0.0000
Se 21.1623 3.0277 8.9451
Se 2.1462 0.3071 0.9072
```

Summary:
* formation energy without anion corrections: 0.81 eV/atom
* spin magnetization: 0.0 μB/f.u.
* N(E_F): 0.82 states/eV/atom
* space-group type: No. 166

***

18.
Below is a geometry-optimized BaSr3Ag structure, with properties calculated at the PBE level.

Geometry as extended XYZ:
```
5
Lattice="-0.8155 2.1890 -6.3369 -6.4772 -1.9047 0.1756 -1.7302 6.0986 2.3293" Properties=species:S:1:pos:R:3 pbc="T T T"
Sr -3.2386 -0.9523 0.0878
Sr -0.8651 3.0493 1.1647
Sr -0.4077 1.0945 -3.1684
Ba 0.0000 0.0000 0.0000
Ag -4.5114 3.1915 -1.9160
```

Summary:
* energy of formation: 458.0 kJ/mol of formula units
* spin magnetization: 3.6 μB/f.u.
* N(E_F): 0.99 states/eV/atom
* E above lowest polymorph: 1069 meV/atom
* space-group type: No. 221

***

19.
Below is a geometry-optimized BeCdP structure, with properties calculated at the PBE level.

Geometry as extended XYZ:
```
3
Lattice="-2.2350 -1.3905 -2.4904 3.4998 -0.0645 -3.1048 1.8863 -2.2653 2.1733" Properties=species:S:1:pos:R:3 pbc="T T T"
P 1.1282 -1.3047 -2.2267
Be 1.6216 -3.2549 -1.6300
Cd -1.5455 -1.9150 -1.7023
```

Summary:
* energy of formation: -0.2 kJ/mol of formula units
* spin magnetization: 0.0 μB/f.u.
* N(E_F): 0.26 states/eV/atom
* E above lowest polymorph: 45 meV/atom
* space-group type: No. 6

***

20.
Below is a geometry-optimized KMo2Br structure, with properties calculated at the PBE level.

Geometry as extended XYZ:
```
4
Lattice="-3.5120 0.5008 3.4543 -4.5465 -1.7839 -0.8150 -1.5906 -3.9631 2.5062" Properties=species:S:1:pos:R:3 pbc="T T T"
Mo -2.4123 -1.3115 1.2864
Mo -7.2368 -3.9346 3.8591
K 0.0000 0.0000 0.0000
Br -4.8245 -2.6231 2.5727
```

Summary:
* formation energy without anion corrections: 2.06 eV/atom
* spin magnetization: 5.3 μB/f.u.
* N(E_F): 1.04 states/eV/atom
* E above lowest polymorph: 1809 meV/atom
* space-group type: No. 225

***

21.
Below is a geometry-optimized BMoOs structure, with properties calculated at the PBE level.

Geometry as extended XYZ:
```
6
Lattice="-2.1053 2.0308 0.2635 -1.9025 -2.4435 3.6321 2.9078 2.5522 3.5631" Properties=species:S:1:pos:R:3 pbc="T T T"
B -1.8608 0.5969 5.0846
B 0.7608 1.5426 2.3741
Os 0.5296 3.2662 3.6116
Os -1.6296 -1.1267 3.8472
Mo -1.5014 1.2944 2.5797
Mo 0.4014 0.8450 4.8790
```

Summary:
* energy of formation: -30.6 kJ/mol of formula units
* spin magnetization: 0.0 μB/f.u.
* N(E_F): 0.61 states/eV/atom
* E above lowest polymorph: 128 meV/atom
* space-group type: No. 11

***

22.
Below is a geometry-optimized TaBi3Te structure, with properties calculated at the PBE level.

Geometry as extended XYZ:
```
5
Lattice="-1.4886 -5.4948 -0.7138 4.4888 -1.6292 3.1804 -3.2485 0.2667 4.7216" Properties=species:S:1:pos:R:3 pbc="T T T"
Te 0.0000 0.0000 0.0000
Bi 2.2444 -0.8146 1.5902
Bi -1.6243 0.1334 2.3608
Bi -0.7443 -2.7474 -0.3569
Ta -0.1242 -3.4286 3.5941
```

Summary:
* formation energy without anion corrections: 1.60 eV/atom
* spin magnetization: 2.6 μB/f.u.
* N(E_F): 1.54 states/eV/atom
* E above lowest polymorph: 1116 meV/atom
* space-group type: No. 221

***

23.
Below is a geometry-optimized AlRu structure, with properties calculated at the PBE level.

Geometry as extended XYZ:
```
8
Lattice="4.9675 0.0000 0.0000 0.0000 4.9675 0.0000 0.0000 0.0000 4.9419" Properties=species:S:1:pos:R:3 pbc="T T T"
Al 1.0093 3.9582 0.0000
Al 3.4931 3.4931 2.4709
Al 1.4745 1.4745 2.4709
Al 3.9582 1.0093 0.0000
Ru 1.4631 1.4631 0.0000
Ru 3.9469 1.0206 2.4709
Ru 1.0206 3.9469 2.4709
Ru 3.5044 3.5044 0.0000
```

Summary:
* energy of formation: 9.1 kJ/mol of formula units
* spin magnetization: 0.0 μB/f.u.
* N(E_F): 1.13 states/eV/atom
* space-group type: No. 136

***

24.
Below is a geometry-optimized NaCu5Si2 structure, with properties calculated at the PBE level.

Geometry as extended XYZ:
```
8
Lattice="-1.1276 3.5959 -0.3614 -3.8918 1.2237 4.4891 2.5838 3.2478 4.4239" Properties=species:S:1:pos:R:3 pbc="T T T"
Na 0.0000 0.0000 0.0000
Cu -0.6540 2.2357 4.4565
Cu -2.3847 3.5286 2.8911
Cu -0.0510 4.5388 5.6605
Cu -2.4390 3.7923 5.6845
Cu 0.0034 4.2751 2.8671
Si -1.8268 6.0508 6.4161
Si -0.6089 2.0166 2.1355
```

Summary:
* formation energy without anion corrections: 0.00 eV/atom
* spin magnetization: 0.0 μB/f.u.
* N(E_F): 0.36 states/eV/atom
* space-group type: No. 71

***

25.
Below is a geometry-optimized GeH4Br3N structure, with properties calculated at the PBE level.

Geometry as extended XYZ:
```
36
Lattice="7.6418 -0.0330 -0.1617 0.1170 7.6292 0.0702 -7.2829 0.0208 13.6335" Properties=species:S:1:pos:R:3 pbc="T T T"
Br 4.1026 1.8503 1.3516
Br -2.5286 6.0813 11.5363
Br 1.1074 5.6869 4.6780
Br 0.4048 2.2546 8.1192
Br 2.0592 5.8080 0.9369
Br -0.4166 2.9511 11.9803
Br 3.1094 1.9347 5.0859
Br -1.6768 6.8284 7.6971
Br 0.4048 1.8303 2.3597
Br 1.1557 6.0528 10.4689
Br 4.7994 5.5758 3.6415
Br -3.2779 2.3136 9.2079
Ge 2.5948 4.3121 3.0521
Ge -0.9440 4.6099 10.0706
Ge 2.5483 0.4916 2.9465
Ge -1.2220 0.8049 9.5685
N 6.4139 6.6332 0.8214
N 2.5414 7.0199 7.5247
N -1.2461 2.7938 5.1871
N -4.6402 3.2368 12.1841
H -0.2470 6.3108 0.9535
H -1.3549 6.4516 13.5535
H 6.3164 0.0227 0.9171
H 5.8994 6.1888 1.6113
H 2.1492 6.5675 8.3782
H 3.5835 6.9793 7.5400
H 2.1194 0.3795 7.4462
H 2.1799 6.5495 6.6697
H -0.7429 2.6395 6.0881
H -1.3544 3.8053 5.0021
H -2.1998 2.3735 5.2308
H -0.7075 2.3769 4.3983
H -4.2631 2.7504 13.0238
H -4.3648 4.2324 12.2240
H -5.6810 3.1699 12.1681
H -4.2393 2.8207 11.3160
```

Summary:
* spin magnetization: 0.0 μB/f.u.
* N(E_F): 0.00 states/eV/atom
* E above lowest polymorph: 0 meV/atom
* space-group type: No. 1